Record 1
# PBE-GGA Nd8Co2Hg, relaxed
# DFT formation energy: -33.8 meV per atom
data_Nd8Co2Hg
_cell_length_a 8.5384
_cell_length_b 13.7628
_cell_length_c 5.6671
_cell_angle_alpha 90.00
_cell_angle_beta 105.23
_cell_angle_gamma 90.00
_space_group_name_H-M_alt 'C 1 2/m 1'
_space_group_IT_number 12
loop_
_space_group_symop_operation_xyz
'x,y,z'
'-x,-y,-z'
'-x,y,-z'
'x,-y,z'
'x+1/2,y+1/2,z'
'-x+1/2,-y+1/2,-z'
'-x+1/2,y+1/2,-z'
'x+1/2,-y+1/2,z'
loop_
_atom_site_label
_atom_site_type_symbol
_atom_site_fract_x
_atom_site_fract_y
_atom_site_fract_z
Nd1 Nd 0.0000 0.2426 0.0000
Nd2 Nd 0.1073 0.5000 0.8076
Nd3 Nd 0.2102 0.1279 0.5634
Co1 Co 0.0000 0.2877 0.5000
Hg1 Hg 0.0000 0.0000 0.0000



Record 2
## K3Sm3TiSe8 (PBE-GGA)

Data for a relaxed K3Sm3TiSe8 crystal.

```
data_K3Sm3TiSe8
_cell_length_a 8.3140
_cell_length_b 8.3140
_cell_length_c 23.5459
_cell_angle_alpha 90.00
_cell_angle_beta 90.00
_cell_angle_gamma 120.00
_space_group_name_H-M_alt 'R -3 m'
_space_group_IT_number 166
_space_group_name_Hall '-R 3 2"'
loop_
_atom_site_label
_atom_site_type_symbol
_atom_site_fract_x
_atom_site_fract_y
_atom_site_fract_z
K1 K 0.0000 0.5000 0.0000
Sm1 Sm 0.0000 0.5000 0.5000
Ti1 Ti 0.0000 0.0000 0.5000
Se1 Se 0.0000 0.0000 0.2370
Se2 Se 0.0310 0.5155 0.2310
```



| no. | raw total energy (eV per atom) | magnetic moment (μB/f.u.) |
| --- | --- | --- |
| 1 | -4.82 | 0.00 |
| 2 | -5.13 | 0.00 |